Entry 1:
A plane-wave DFT calculation with PBE-GGA was carried out for an optimized crystal structure of KTc2Sb.

Unit cell a=6.230 b=10.127 c=2.775 alpha=90.00 beta=115.60 gamma=90.00
Sites, in units of the cell vectors:
K 0.000 0.000 0.000
K 0.500 0.500 0.000
Tc 0.250 0.250 0.000
Tc 0.250 0.750 0.000
Tc 0.750 0.250 0.000
Tc 0.750 0.750 0.000
Sb 0.000 0.500 0.000
Sb 0.500 0.000 0.000

Results
* symmetry: No. 12
* formation energy (no corrections): 1170 meV per atom

---

Entry 2:
A plane-wave DFT calculation with PBE-GGA was carried out for an optimized crystal structure of TaCd2Cl.

Unit cell a=5.828 b=9.187 c=3.011 alpha=90.00 beta=90.00 gamma=90.00
Sites, in units of the cell vectors:
Ta 0.000 0.000 0.000
Ta 0.500 0.500 0.000
Cd 0.250 0.250 0.500
Cd 0.250 0.750 0.500
Cd 0.750 0.250 0.500
Cd 0.750 0.750 0.500
Cl 0.000 0.500 0.000
Cl 0.500 0.000 0.000

Results
* symmetry: No. 65
* formation energy (no corrections): 235 meV per atom
* ΔE to the lowest computed polymorph: 0.271 eV per atom

---

Entry 3:
A plane-wave DFT calculation with PBE-GGA was carried out for an optimized crystal structure of MnTlCrSe3.

Unit cell a=8.317 b=3.573 c=9.740 alpha=90.00 beta=111.24 gamma=90.00
Sites, in units of the cell vectors:
Mn 0.017 0.250 0.093
Mn 0.983 0.750 0.907
Tl 0.490 0.250 0.778
Tl 0.510 0.750 0.222
Cr 0.023 0.750 0.330
Cr 0.977 0.250 0.670
Se 0.162 0.750 0.611
Se 0.180 0.250 0.936
Se 0.230 0.250 0.327
Se 0.770 0.750 0.673
Se 0.820 0.750 0.064
Se 0.838 0.250 0.389

Results
* symmetry: No. 11
* formation energy (no corrections): -374 meV per atom

---

Entry 4:
A plane-wave DFT calculation with PBE-GGA was carried out for an optimized crystal structure of CeTmGaAg.

Unit cell a=7.280 b=7.280 c=7.280 alpha=90.00 beta=90.00 gamma=90.00
Sites, in units of the cell vectors:
Ce 0.000 0.000 0.000
Ce 0.000 0.500 0.500
Ce 0.500 0.000 0.500
Ce 0.500 0.500 0.000
Tm 0.000 0.000 0.500
Tm 0.000 0.500 0.000
Tm 0.500 0.000 0.000
Tm 0.500 0.500 0.500
Ga 0.250 0.250 0.750
Ga 0.250 0.750 0.250
Ga 0.750 0.250 0.250
Ga 0.750 0.750 0.750
Ag 0.250 0.250 0.250
Ag 0.250 0.750 0.750
Ag 0.750 0.250 0.750
Ag 0.750 0.750 0.250

Results
* symmetry: No. 216
* energy relative to the elements: -0.340 eV/atom

---

Entry 5:
A plane-wave DFT calculation with PBE-GGA was carried out for an optimized crystal structure of Ca2ScGeN.

Unit cell a=4.768 b=4.768 c=4.418 alpha=90.00 beta=90.00 gamma=90.00
Sites, in units of the cell vectors:
Ca 0.000 0.500 0.000
Ca 0.500 0.000 0.000
Sc 0.000 0.000 0.500
Ge 0.500 0.500 0.500
N 0.000 0.000 0.000

Results
* symmetry: No. 123
* formation energy (no corrections): -925 meV per atom

---

Entry 6:
A plane-wave DFT calculation with PBE-GGA was carried out for an optimized crystal structure of Li3La2Cu12Ni.

Unit cell a=10.315 b=10.315 c=10.315 alpha=33.04 beta=33.04 gamma=33.04
Sites, in units of the cell vectors:
Li 0.000 0.500 0.500
Li 0.500 0.000 0.500
Li 0.500 0.500 0.000
La 0.146 0.146 0.146
La 0.854 0.854 0.854
Cu 0.086 0.086 0.678
Cu 0.086 0.678 0.086
Cu 0.145 0.576 0.576
Cu 0.322 0.914 0.914
Cu 0.424 0.424 0.855
Cu 0.424 0.855 0.424
Cu 0.576 0.145 0.576
Cu 0.576 0.576 0.145
Cu 0.678 0.086 0.086
Cu 0.855 0.424 0.424
Cu 0.914 0.322 0.914
Cu 0.914 0.914 0.322
Ni 0.500 0.500 0.500

Results
* symmetry: No. 166
* energy relative to the elements: 0.122 eV/atom

---

Entry 7:
A plane-wave DFT calculation with PBE-GGA was carried out for an optimized crystal structure of NaIn5Br6.

Unit cell a=8.041 b=8.041 c=8.038 alpha=99.57 beta=99.57 gamma=119.46
Sites, in units of the cell vectors:
Na 0.000 0.000 0.000
In 0.167 0.833 0.500
In 0.332 0.668 0.000
In 0.500 0.500 0.500
In 0.668 0.332 0.000
In 0.833 0.167 0.500
Br 0.076 0.385 0.231
Br 0.228 0.228 0.747
Br 0.385 0.076 0.231
Br 0.615 0.924 0.769
Br 0.772 0.772 0.253
Br 0.924 0.615 0.769

Results
* symmetry: No. 12
* formation energy (no corrections): -793 meV per atom

---

Entry 8:
A plane-wave DFT calculation with PBE-GGA was carried out for an optimized crystal structure of PrGdCd.

Unit cell a=3.747 b=3.747 c=12.955 alpha=90.00 beta=90.00 gamma=90.00
Sites, in units of the cell vectors:
Pr 0.000 0.000 0.000
Pr 0.500 0.500 0.500
Gd 0.000 0.000 0.690
Gd 0.500 0.500 0.190
Cd 0.000 0.000 0.337
Cd 0.500 0.500 0.837

Results
* symmetry: No. 107
* energy relative to the elements: -0.213 eV/atom
* ΔE to the lowest computed polymorph: 0.000 eV per atom

---

Number 1: total magnetic moment 1.48 μB/f.u., energy -5.32 eV per atom. Number 2: total magnetic moment 0.00 μB/f.u., energy -3.65 eV per atom. Number 3: total magnetic moment 2.95 μB/f.u., energy -5.64 eV per atom. Number 4: total magnetic moment 1.04 μB/f.u., energy -4.41 eV per atom. Number 5: total magnetic moment 0.00 μB/f.u., energy -5.58 eV per atom. Number 6: total magnetic moment 0.00 μB/f.u., energy -3.80 eV per atom. Number 7: total magnetic moment 0.00 μB/f.u., energy -2.88 eV per atom. Number 8: total magnetic moment 7.70 μB/f.u., energy -6.80 eV per atom.